Here is a relaxed structure of Li2BiSb from Alexandria via LeMat-Bulk. Energies are from PBE-GGA.

Cell lengths 3.502, 3.502, 7.334 Å; angles 90.00, 90.00, 90.00 degrees
Fractional positions:
1 Sb 0.500 0.500 0.000
2 Bi 0.500 0.500 0.500
3 Li 0.000 0.000 0.769
4 Li 0.000 0.000 0.231

Summary:
The calculation puts the density of states at the Fermi level at 0.299 states/eV per atom. The value obtained for the energy above the most stable polymorph in this dataset is 28 meV per atom.